Compound: Ta2CuP
Source: the Alexandria database
Functional: PBE-GGA
Structure: relaxed

Cell lengths 3.570, 3.491, 9.522 Å; angles 90.00, 90.00, 90.00 degrees
Space group Amm2 (No. 38)
Symmetry-distinct sites (fractional):
Ta1 0.000 0.000 0.000 (multiplicity 2)
Ta2 0.500 0.000 0.312 (multiplicity 2)
Cu1 0.000 0.000 0.726 (multiplicity 2)
P1 0.500 0.000 0.583 (multiplicity 2)

Results
Uncorrected energy   -8.719 eV per atom
Magnetization   0.0 μB per cell
ΔH_f (0 K)   -0.42 eV/atom